Record 1
# Tb6Nd4Sc

Tb6Nd4Sc after structural relaxation (PBE-GGA, the Alexandria database).

Summary:
Magnetization (μB/f.u.): 0.00
Fermi-level density of states (states/eV/atom): 1.79
Energy (eV/atom): -4.704
Formation enthalpy at 0 K (eV/atom): 0.13

The structure in CIF format:
```
data_Tb6Nd4Sc
_space_group_name_H-M_alt 'C m c m'
_space_group_IT_number 63
_space_group_name_Hall '-C 2c 2'
_cell_length_a 5.7655
_cell_length_b 9.6460
_cell_length_c 25.7229
_cell_angle_alpha 90.00
_cell_angle_beta 90.00
_cell_angle_gamma 90.00
loop_
_atom_site_label
_atom_site_type_symbol
_atom_site_fract_x
_atom_site_fract_y
_atom_site_fract_z
Tb1 Tb 0.0000 0.0000 0.0000
Tb2 Tb 0.0000 0.0297 0.2500
Tb3 Tb 0.0000 0.3029 0.6102
Tb4 Tb 0.0000 0.3649 0.1845
Nd1 Nd 0.0000 0.0389 0.1226
Nd2 Nd 0.0000 0.3486 0.0464
Sc1 Sc 0.0000 0.3055 0.7500
```


Record 2
# TbNd3Sc2

TbNd3Sc2 after structural relaxation (PBE-GGA, the Alexandria database).

Summary:
Offset from the most stable computed form (meV/atom): 0.0
Magnetization (μB/f.u.): 0.00
Fermi-level density of states (states/eV/atom): 1.60
Energy (eV/atom): -5.143
Formation enthalpy at 0 K (eV/atom): 0.12

The structure in CIF format:
```
data_TbNd3Sc2
_space_group_name_H-M_alt 'P 1 21/m 1'
_space_group_IT_number 11
_cell_length_a 9.4955
_cell_length_b 3.4828
_cell_length_c 11.3825
_cell_angle_alpha 90.00
_cell_angle_beta 95.07
_cell_angle_gamma 90.00
loop_
_space_group_symop_operation_xyz
'x,y,z'
'-x,-y,-z'
'-x,y+1/2,-z'
'x,-y+1/2,z'
loop_
_atom_site_label
_atom_site_type_symbol
_atom_site_fract_x
_atom_site_fract_y
_atom_site_fract_z
Tb1 Tb 0.2374 0.2500 0.3582
Nd1 Nd 0.0720 0.7500 0.1233
Nd2 Nd 0.2577 0.7500 0.8658
Nd3 Nd 0.3982 0.7500 0.6074
Sc1 Sc 0.0773 0.2500 0.6174
Sc2 Sc 0.4314 0.7500 0.1479
```


Record 3
# Tb2NdSc3

Tb2NdSc3 after structural relaxation (PBE-GGA, the Alexandria database).

Summary:
Magnetization (μB/f.u.): 0.00
Fermi-level density of states (states/eV/atom): 1.60
Energy (eV/atom): -5.426
Formation enthalpy at 0 K (eV/atom): 0.08

The structure in CIF format:
```
data_Tb2NdSc3
_space_group_name_H-M_alt 'P 1 21/m 1'
_space_group_IT_number 11
_cell_length_a 5.9867
_cell_length_b 3.4608
_cell_length_c 16.6868
_cell_angle_alpha 90.00
_cell_angle_beta 96.88
_cell_angle_gamma 90.00
loop_
_space_group_symop_operation_xyz
'x,y,z'
'-x,-y,-z'
'-x,y+1/2,-z'
'x,-y+1/2,z'
loop_
_atom_site_label
_atom_site_type_symbol
_atom_site_fract_x
_atom_site_fract_y
_atom_site_fract_z
Tb1 Tb 0.0266 0.2500 0.3326
Tb2 Tb 0.2498 0.2500 0.0000
Nd1 Nd 0.4721 0.2500 0.6677
Sc1 Sc 0.1373 0.7500 0.1652
Sc2 Sc 0.2475 0.7500 0.4993
Sc3 Sc 0.3613 0.7500 0.8355
```


Record 4
# Tb8Nd3Sc4

Tb8Nd3Sc4 after structural relaxation (PBE-GGA, the Alexandria database).

Summary:
Magnetization (μB/f.u.): 0.00
Fermi-level density of states (states/eV/atom): 1.64
Energy (eV/atom): -4.736
Formation enthalpy at 0 K (eV/atom): 0.38

The structure in CIF format:
```
data_Tb8Nd3Sc4
_space_group_name_H-M_alt 'C 1 2/m 1'
_space_group_IT_number 12
_cell_length_a 13.1485
_cell_length_b 11.9673
_cell_length_c 6.6358
_cell_angle_alpha 90.00
_cell_angle_beta 115.82
_cell_angle_gamma 90.00
loop_
_space_group_symop_operation_xyz
'x,y,z'
'-x,-y,-z'
'-x,y,-z'
'x,-y,z'
'x+1/2,y+1/2,z'
'-x+1/2,-y+1/2,-z'
'-x+1/2,y+1/2,-z'
'x+1/2,-y+1/2,z'
loop_
_atom_site_label
_atom_site_type_symbol
_atom_site_fract_x
_atom_site_fract_y
_atom_site_fract_z
Tb1 Tb 0.0000 0.2087 0.0000
Tb2 Tb 0.0000 0.2602 0.5000
Tb3 Tb 0.2020 0.0000 0.1613
Tb4 Tb 0.2315 0.5000 0.3116
Nd1 Nd 0.0000 0.0000 0.5000
Nd2 Nd 0.2500 0.2500 0.0000
Sc1 Sc 0.0000 0.5000 0.0000
Sc2 Sc 0.0000 0.5000 0.5000
Sc3 Sc 0.2500 0.2500 0.5000
```


Record 5
# TbNd4Sc3

TbNd4Sc3 after structural relaxation (PBE-GGA, the Alexandria database).

Summary:
Offset from the most stable computed form (meV/atom): 244.5
Magnetization (μB/f.u.): 0.00
Fermi-level density of states (states/eV/atom): 1.85
Energy (eV/atom): -5.046
Formation enthalpy at 0 K (eV/atom): 0.29

The structure in CIF format:
```
data_TbNd4Sc3
_space_group_name_H-M_alt 'C 1 2/m 1'
_space_group_IT_number 12
_cell_length_a 27.3542
_cell_length_b 3.4733
_cell_length_c 5.6903
_cell_angle_alpha 90.00
_cell_angle_beta 93.68
_cell_angle_gamma 90.00
loop_
_space_group_symop_operation_xyz
'x,y,z'
'-x,-y,-z'
'-x,y,-z'
'x,-y,z'
'x+1/2,y+1/2,z'
'-x+1/2,-y+1/2,-z'
'-x+1/2,y+1/2,-z'
'x+1/2,-y+1/2,z'
loop_
_atom_site_label
_atom_site_type_symbol
_atom_site_fract_x
_atom_site_fract_y
_atom_site_fract_z
Tb1 Tb 0.0000 0.0000 0.0000
Nd1 Nd 0.1001 0.0000 0.5307
Nd2 Nd 0.1898 0.0000 0.0607
Sc1 Sc 0.0000 0.5000 0.5000
Sc2 Sc 0.2058 0.5000 0.5698
```


Record 6
# Tb2Nd3Sc2

Tb2Nd3Sc2 after structural relaxation (PBE-GGA, the Alexandria database).

Summary:
Offset from the most stable computed form (meV/atom): 0.0
Magnetization (μB/f.u.): 0.00
Fermi-level density of states (states/eV/atom): 1.50
Energy (eV/atom): -5.132
Formation enthalpy at 0 K (eV/atom): 0.04

The structure in CIF format:
```
data_Tb2Nd3Sc2
_space_group_name_H-M_alt 'C 1 2/m 1'
_space_group_IT_number 12
_cell_length_a 16.5075
_cell_length_b 3.5116
_cell_length_c 8.5903
_cell_angle_alpha 90.00
_cell_angle_beta 118.41
_cell_angle_gamma 90.00
loop_
_space_group_symop_operation_xyz
'x,y,z'
'-x,-y,-z'
'-x,y,-z'
'x,-y,z'
'x+1/2,y+1/2,z'
'-x+1/2,-y+1/2,-z'
'-x+1/2,y+1/2,-z'
'x+1/2,-y+1/2,z'
loop_
_atom_site_label
_atom_site_type_symbol
_atom_site_fract_x
_atom_site_fract_y
_atom_site_fract_z
Tb1 Tb 0.1325 0.0000 0.3184
Nd1 Nd 0.0000 0.5000 0.5000
Nd2 Nd 0.2048 0.0000 0.7930
Sc1 Sc 0.0696 0.5000 0.9338
```


Record 7
# Tb3Nd12Sc

Tb3Nd12Sc after structural relaxation (PBE-GGA, the Alexandria database).

Summary:
Magnetization (μB/f.u.): 0.00
Fermi-level density of states (states/eV/atom): 1.51
Energy (eV/atom): -4.819
Formation enthalpy at 0 K (eV/atom): 0.02

The structure in CIF format:
```
data_Tb3Nd12Sc
_space_group_name_H-M_alt 'P 4/m m m'
_space_group_IT_number 123
_space_group_name_Hall '-P 4 2'
_cell_length_a 5.1390
_cell_length_b 5.1390
_cell_length_c 20.5172
_cell_angle_alpha 90.00
_cell_angle_beta 90.00
_cell_angle_gamma 90.00
loop_
_atom_site_label
_atom_site_type_symbol
_atom_site_fract_x
_atom_site_fract_y
_atom_site_fract_z
Tb1 Tb 0.0000 0.0000 0.0000
Tb2 Tb 0.0000 0.0000 0.2527
Nd1 Nd 0.0000 0.5000 0.1263
Nd2 Nd 0.0000 0.5000 0.3788
Nd3 Nd 0.5000 0.5000 0.0000
Nd4 Nd 0.5000 0.5000 0.2527
Nd5 Nd 0.5000 0.5000 0.5000
Sc1 Sc 0.0000 0.0000 0.5000
```


Record 8
# TbNd12Sc2

TbNd12Sc2 after structural relaxation (PBE-GGA, the Alexandria database).

Summary:
Magnetization (μB/f.u.): 0.00
Fermi-level density of states (states/eV/atom): 1.59
Energy (eV/atom): -4.770
Formation enthalpy at 0 K (eV/atom): 0.20

The structure in CIF format:
```
data_TbNd12Sc2
_space_group_name_H-M_alt 'C m m e'
_space_group_IT_number 67
_space_group_name_Hall '-C 2a 2'
_cell_length_a 7.0461
_cell_length_b 11.4702
_cell_length_c 25.6213
_cell_angle_alpha 90.00
_cell_angle_beta 90.00
_cell_angle_gamma 90.00
loop_
_atom_site_label
_atom_site_type_symbol
_atom_site_fract_x
_atom_site_fract_y
_atom_site_fract_z
Tb1 Tb 0.0000 0.2500 0.0006
Nd1 Nd 0.0000 0.0010 0.9269
Nd2 Nd 0.0000 0.0436 0.4411
Nd3 Nd 0.2289 0.2500 0.6148
Nd4 Nd 0.2494 0.2500 0.1282
Nd5 Nd 0.2500 0.0000 0.1966
Nd6 Nd 0.2500 0.0000 0.3202
Sc1 Sc 0.0000 0.2500 0.2612
Sc2 Sc 0.0000 0.2500 0.7408
```


The highest Fermi-level density of states belongs to which entry?
TbNd4Sc3


Which value of energy does entry 8 give?
-4.770 eV/atom


Which value of formation enthalpy at 0 K does entry 5 give?
0.29 eV/atom